! TaVNi SCAN PBEsol geometry; values from VASP
&SYSTEM
  ibrav = 0, nat = 12, ntyp = 3
/
ATOMIC_SPECIES
Ta 180.95 Ta.upf
V 50.94 V.upf
Ni 58.69 Ni.upf
CELL_PARAMETERS angstrom
-1.113 4.586 -1.082
-3.406 -3.433 -0.216
-1.850 1.354 7.642
ATOMIC_POSITIONS crystal
Ta 0.675 0.350 0.816
Ta 0.341 0.681 0.695
Ta 0.341 0.681 0.305
Ta 0.675 0.350 0.184
V 0.157 0.315 0.000
V 0.833 0.173 0.500
V 0.341 0.173 0.500
V 0.828 0.656 0.500
Ni 0.000 0.000 0.755
Ni 0.000 0.000 0.245
Ni 0.160 0.810 0.000
Ni 0.650 0.810 0.000
! Space group   No. 38
! V   40.5 Å³/f.u.
! Crystal system   orthorhombic
! Spin magnetization   0.0 μB/f.u.
! Energy of formation   -0.2234 eV per atom



! TaNiW SCAN PBEsol geometry; values from VASP
&SYSTEM
  ibrav = 0, nat = 3, ntyp = 3
/
ATOMIC_SPECIES
Ni 58.69 Ni.upf
Ta 180.95 Ta.upf
W 183.84 W.upf
CELL_PARAMETERS angstrom
3.218 0.000 0.000
0.000 3.218 0.000
-1.609 -1.609 4.259
ATOMIC_POSITIONS crystal
Ni 0.995 0.995 0.991
Ta 0.663 0.663 0.326
W 0.342 0.342 0.683
! Space group   No. 107
! V   44.1 Å³/f.u.
! Crystal system   tetragonal
! Spin magnetization   0.0 μB/f.u.
! Energy of formation   0.1666 eV per atom



! Y2TaNi SCAN PBEsol geometry; values from VASP
&SYSTEM
  ibrav = 0, nat = 4, ntyp = 3
/
ATOMIC_SPECIES
Ni 58.69 Ni.upf
Ta 180.95 Ta.upf
Y 88.91 Y.upf
CELL_PARAMETERS angstrom
4.798 0.000 0.000
2.399 4.155 0.000
2.399 1.385 3.917
ATOMIC_POSITIONS crystal
Ni 0.500 0.500 0.500
Ta 0.250 0.250 0.250
Y 0.000 0.000 0.000
Y 0.750 0.750 0.750
! Space group   No. 216
! V   78.1 Å³/f.u.
! Crystal system   cubic
! Spin magnetization   2.6 μB/f.u.
! Energy of formation   0.4968 eV per atom



Summary of DFT total energy in eV/atom
-33.64, -50.65, -34.11
(order as listed above)